No. 1
{
  "formula": "TaIrPt2Se",
  "functional": "PBE",
  "state": "optimized geometry",
  "lattice": [[4.634, 0.000, 0.000], [0.000, 4.634, 0.000], [0.000, 0.000, 4.573]],
  "species": ["Ta", "Ir", "Pt", "Pt", "Se"],
  "fractional_positions": [[0.000, 0.000, 0.000], [0.500, 0.500, 0.000], [0.000, 0.500, 0.500], [0.500, 0.000, 0.500], [0.500, 0.500, 0.500]],
  "formation_energy_uncorrected_ev_per_atom": 1.0259,
  "rho_g_cm3": 14.24,
  "total_energy_ev_per_atom": -6.230
}



No. 2
{
  "formula": "La4C2Cl3",
  "functional": "PBE",
  "state": "optimized geometry",
  "lattice": [[7.380, -1.836, 0.000], [7.380, 1.836, 0.000], [-1.731, 0.000, 8.570]],
  "species": ["La", "La", "La", "La", "C", "C", "Cl", "Cl", "Cl"],
  "fractional_positions": [[0.094, 0.094, 0.198], [0.322, 0.322, 0.392], [0.678, 0.678, 0.608], [0.906, 0.906, 0.802], [0.307, 0.307, 0.666], [0.693, 0.693, 0.334], [0.000, 0.000, 0.500], [0.415, 0.415, 0.102], [0.585, 0.585, 0.898]],
  "formation_energy_uncorrected_ev_per_atom": -1.1837,
  "rho_g_cm3": 4.90,
  "total_energy_ev_per_atom": -6.039
}



No. 3
{
  "formula": "WAuN2",
  "functional": "PBE",
  "state": "optimized geometry",
  "lattice": [[-2.519, 2.519, 4.774], [2.519, -2.519, 4.774], [2.519, 2.519, -4.774]],
  "species": ["W", "W", "Au", "Au", "N", "N", "N", "N"],
  "fractional_positions": [[0.000, 0.000, 0.000], [0.750, 0.250, 0.500], [0.250, 0.750, 0.500], [0.500, 0.500, 0.000], [0.032, 0.625, 0.907], [0.375, 0.282, 0.407], [0.718, 0.125, 0.093], [0.875, 0.968, 0.593]],
  "formation_energy_uncorrected_ev_per_atom": 0.3027,
  "rho_g_cm3": 11.21,
  "de_polymorph_mev_per_atom": 257.3,
  "total_energy_ev_per_atom": -7.918
}



No. 4
{
  "formula": "BeTc2",
  "functional": "PBE",
  "state": "optimized geometry",
  "lattice": [[-2.814, 2.814, 2.296], [2.814, -2.814, 2.296], [2.814, 2.814, -2.296]],
  "species": ["Be", "Be", "Tc", "Tc", "Tc", "Tc"],
  "fractional_positions": [[0.250, 0.250, 0.000], [0.750, 0.750, 0.000], [0.161, 0.661, 0.821], [0.339, 0.161, 0.500], [0.661, 0.839, 0.500], [0.839, 0.339, 0.179]],
  "formation_enthalpy_0k_ev_per_atom": -0.268,
  "rho_g_cm3": 9.36,
  "de_polymorph_mev_per_atom": 0.0,
  "total_energy_ev_per_atom": -8.421
}



No. 5
{
  "formula": "KCdCl2",
  "functional": "PBE",
  "state": "optimized geometry",
  "lattice": [[0.000, 3.813, 3.813], [3.813, 0.000, 3.813], [3.813, 3.813, 0.000]],
  "species": ["K", "Cd", "Cl", "Cl"],
  "fractional_positions": [[0.000, 0.000, 0.000], [0.250, 0.250, 0.250], [0.500, 0.500, 0.500], [0.750, 0.750, 0.750]],
  "formation_energy_uncorrected_ev_per_atom": -0.6845,
  "rho_g_cm3": 3.33,
  "de_polymorph_mev_per_atom": 498.6,
  "total_energy_ev_per_atom": -2.111
}



No. 6
{
  "formula": "LaBe",
  "functional": "PBE",
  "state": "optimized geometry",
  "lattice": [[-1.986, 3.939, 3.464], [1.986, -3.939, 3.464], [1.986, 3.939, -3.464]],
  "species": ["La", "La", "Be", "Be"],
  "fractional_positions": [[0.000, 0.000, 0.000], [0.500, 0.000, 0.500], [0.436, 0.686, 0.750], [0.564, 0.314, 0.250]],
  "formation_enthalpy_0k_ev_per_atom": 0.270,
  "rho_g_cm3": 4.53,
  "de_polymorph_mev_per_atom": 230.7,
  "total_energy_ev_per_atom": -4.056
}



Number 1: volume 19.64 A^3/atom. Number 2: volume 25.81 A^3/atom. Number 3: volume 15.14 A^3/atom. Number 4: volume 12.12 A^3/atom. Number 5: volume 27.71 A^3/atom. Number 6: volume 27.10 A^3/atom.